This record from the Alexandria database describes crystalline AsHRh2C at its relaxed geometry. The functional is PBE-GGA.

Lattice parameters (Å, degrees): 4.0036 4.0036 4.2951 90.00 90.00 90.00
Atoms (fractional coordinates):
H 0.5000 0.5000 0.5000
As 0.0000 0.0000 0.5000
Rh 0.0000 0.5000 0.0000
Rh 0.5000 0.0000 0.0000
C 0.0000 0.0000 0.0000

Output
Total DFT energy (no corrections) ... -5.4302 eV/atom
Calculated density ... 7.09 Mg/m³
Total magnetization ... 0.00 μB/cell